{
  "formula": "Tm3Ga4Au4",
  "functional": "PBE",
  "state": "optimized geometry",
  "lattice_angstrom": [[-4.497, 0.653, -0.591], [-0.663, -2.939, 1.799], [2.101, 8.352, 10.998]],
  "species": ["Au", "Au", "Au", "Au", "Ga", "Ga", "Ga", "Ga", "Tm", "Tm", "Tm"],
  "frac_coords": [[0.732, 0.732, 0.464], [0.092, 0.592, 0.185], [0.268, 0.268, 0.536], [0.908, 0.408, 0.815], [0.454, 0.454, 0.907], [0.546, 0.546, 0.093], [0.187, 0.687, 0.375], [0.813, 0.313, 0.625], [0.641, 0.141, 0.282], [0.000, 0.000, 0.000], [0.359, 0.859, 0.718]],
  "total_energy_ev_per_atom": -4.19,
  "magnetic_moment_mub_per_atom": 0.000
}